The following is a DFT calculation (GGA-PBE) of ReSb2Cl after structural relaxation.

Structure (CIF):
```
data_ReSb2Cl
_cell_length_a 3.315
_cell_length_b 3.310
_cell_length_c 7.877
_cell_angle_alpha 90.00
_cell_angle_beta 90.92
_cell_angle_gamma 90.00
_space_group_name_H-M_alt 'P 1'
_space_group_IT_number 1
loop_
_space_group_symop_operation_xyz
'x,y,z'
loop_
_atom_site_label
_atom_site_fract_x
_atom_site_fract_y
_atom_site_fract_z
Re1 0.000 0.000 0.000
Sb1 0.492 0.500 0.793
Sb2 0.508 0.500 0.207
Cl1 0.000 0.000 0.500
```

Computed properties:
Magnetization ... 0.00 μB per atom
Space-group type ... P2/m
Density ... 8.9 Mg/m³
Uncorrected energy ... -22.1 eV for the cell shown
Uncorrected formation energy ... 0.113 eV per atom

The following is a DFT calculation (GGA-PBE) of Ba3SnSe4 after structural relaxation.

Structure (CIF):
```
data_Ba3SnSe4
_cell_length_a 4.638
_cell_length_b 4.638
_cell_length_c 13.095
_cell_angle_alpha 90.00
_cell_angle_beta 90.00
_cell_angle_gamma 90.00
_space_group_name_H-M_alt 'P 1'
_space_group_IT_number 1
loop_
_space_group_symop_operation_xyz
'x,y,z'
loop_
_atom_site_label
_atom_site_fract_x
_atom_site_fract_y
_atom_site_fract_z
Ba1 0.000 0.000 0.000
Ba2 0.500 0.500 0.257
Ba3 0.500 0.500 0.743
Sn1 0.000 0.000 0.500
Se1 0.000 0.000 0.260
Se2 0.000 0.000 0.740
Se3 0.500 0.500 0.000
Se4 0.500 0.500 0.500
```

Computed properties:
Magnetization ... 0.00 μB per atom
Space-group type ... P4/mmm
Density ... 5.0 Mg/m³
Uncorrected energy ... -36.6 eV for the cell shown
Uncorrected formation energy ... -1.610 eV per atom

The following is a DFT calculation (GGA-PBE) of NdPaTcRh after structural relaxation.

Structure (CIF):
```
data_NdPaTcRh
_cell_length_a 4.931
_cell_length_b 4.931
_cell_length_c 4.931
_cell_angle_alpha 60.00
_cell_angle_beta 60.00
_cell_angle_gamma 60.00
_space_group_name_H-M_alt 'P 1'
_space_group_IT_number 1
loop_
_space_group_symop_operation_xyz
'x,y,z'
loop_
_atom_site_label
_atom_site_fract_x
_atom_site_fract_y
_atom_site_fract_z
Nd1 0.000 0.000 0.000
Pa1 0.500 0.500 0.500
Tc1 0.250 0.250 0.250
Rh1 0.750 0.750 0.750
```

Computed properties:
Magnetization ... 0.00 μB per atom
Space-group type ... F-43m
Density ... 11.3 Mg/m³
Uncorrected energy ... -33.0 eV for the cell shown
Energy of formation ... -0.25 eV/atom

The following is a DFT calculation (GGA-PBE) of Zr2TlCo after structural relaxation.

Structure (CIF):
```
data_Zr2TlCo
_cell_length_a 4.417
_cell_length_b 4.417
_cell_length_c 4.034
_cell_angle_alpha 90.00
_cell_angle_beta 90.00
_cell_angle_gamma 90.00
_space_group_name_H-M_alt 'P 1'
_space_group_IT_number 1
loop_
_space_group_symop_operation_xyz
'x,y,z'
loop_
_atom_site_label
_atom_site_fract_x
_atom_site_fract_y
_atom_site_fract_z
Zr1 0.000 0.500 0.000
Zr2 0.500 0.000 0.000
Tl1 0.000 0.000 0.500
Co1 0.500 0.500 0.500
```

Computed properties:
Magnetization ... 0.37 μB per atom
Space-group type ... P4/mmm
Density ... 9.4 Mg/m³
Uncorrected energy ... -26.5 eV for the cell shown
Energy of formation ... 0.03 eV/atom

The following is a DFT calculation (GGA-PBE) of LuPuAlGe after structural relaxation.

Structure (CIF):
```
data_LuPuAlGe
_cell_length_a 5.002
_cell_length_b 5.002
_cell_length_c 5.002
_cell_angle_alpha 60.00
_cell_angle_beta 60.00
_cell_angle_gamma 60.00
_space_group_name_H-M_alt 'P 1'
_space_group_IT_number 1
loop_
_space_group_symop_operation_xyz
'x,y,z'
loop_
_atom_site_label
_atom_site_fract_x
_atom_site_fract_y
_atom_site_fract_z
Lu1 0.000 0.000 0.000
Pu1 0.500 0.500 0.500
Al1 0.750 0.750 0.750
Ge1 0.250 0.250 0.250
```

Computed properties:
Magnetization ... 1.38 μB per atom
Space-group type ... F-43m
Density ... 9.7 Mg/m³
Uncorrected energy ... -28.6 eV for the cell shown
Energy of formation ... -0.34 eV/atom

The following is a DFT calculation (GGA-PBE) of RbAgI2F after structural relaxation.

Structure (CIF):
```
data_RbAgI2F
_cell_length_a 5.874
_cell_length_b 5.874
_cell_length_c 4.523
_cell_angle_alpha 90.00
_cell_angle_beta 90.00
_cell_angle_gamma 90.00
_space_group_name_H-M_alt 'P 1'
_space_group_IT_number 1
loop_
_space_group_symop_operation_xyz
'x,y,z'
loop_
_atom_site_label
_atom_site_fract_x
_atom_site_fract_y
_atom_site_fract_z
Rb1 0.000 0.000 0.000
Ag1 0.500 0.500 0.500
I1 0.000 0.500 0.500
I2 0.500 0.000 0.500
F1 0.500 0.500 0.000
```

Computed properties:
Magnetization ... 0.00 μB per atom
Space-group type ... P4/mmm
Density ... 5.0 Mg/m³
Uncorrected energy ... -13.8 eV for the cell shown
Uncorrected formation energy ... -0.994 eV per atom

The following is a DFT calculation (GGA-PBE) of Mn2AgP after structural relaxation.

Structure (CIF):
```
data_Mn2AgP
_cell_length_a 2.804
_cell_length_b 2.804
_cell_length_c 6.640
_cell_angle_alpha 90.00
_cell_angle_beta 90.00
_cell_angle_gamma 90.00
_space_group_name_H-M_alt 'P 1'
_space_group_IT_number 1
loop_
_space_group_symop_operation_xyz
'x,y,z'
loop_
_atom_site_label
_atom_site_fract_x
_atom_site_fract_y
_atom_site_fract_z
Mn1 0.000 0.000 0.192
Mn2 0.000 0.000 0.808
Ag1 0.500 0.500 0.500
P1 0.500 0.500 0.000
```

Computed properties:
Magnetization ... 0.84 μB per atom
Space-group type ... P4/mmm
Density ... 7.9 Mg/m³
Uncorrected energy ... -26.5 eV for the cell shown
Energy of formation ... 0.03 eV/atom

The following is a DFT calculation (GGA-PBE) of YSb2TeBr after structural relaxation.

Structure (CIF):
```
data_YSb2TeBr
_cell_length_a 5.412
_cell_length_b 5.412
_cell_length_c 5.618
_cell_angle_alpha 90.00
_cell_angle_beta 90.00
_cell_angle_gamma 90.00
_space_group_name_H-M_alt 'P 1'
_space_group_IT_number 1
loop_
_space_group_symop_operation_xyz
'x,y,z'
loop_
_atom_site_label
_atom_site_fract_x
_atom_site_fract_y
_atom_site_fract_z
Y1 0.000 0.000 0.000
Sb1 0.000 0.500 0.500
Sb2 0.500 0.000 0.500
Te1 0.500 0.500 0.000
Br1 0.500 0.500 0.500
```

Computed properties:
Magnetization ... 0.00 μB per atom
Space-group type ... P4/mmm
Density ... 5.4 Mg/m³
Uncorrected energy ... -17.7 eV for the cell shown
Uncorrected formation energy ... 0.355 eV per atom

The following is a DFT calculation (GGA-PBE) of Tl4SbBr2 after structural relaxation.

Structure (CIF):
```
data_Tl4SbBr2
_cell_length_a 9.715
_cell_length_b 9.715
_cell_length_c 9.715
_cell_angle_alpha 143.79
_cell_angle_beta 143.79
_cell_angle_gamma 52.15
_space_group_name_H-M_alt 'P 1'
_space_group_IT_number 1
loop_
_space_group_symop_operation_xyz
'x,y,z'
loop_
_atom_site_label
_atom_site_fract_x
_atom_site_fract_y
_atom_site_fract_z
Tl1 0.000 0.500 0.500
Tl2 0.184 0.184 0.000
Tl3 0.500 0.000 0.500
Tl4 0.816 0.816 0.000
Sb1 0.000 0.000 0.000
Br1 0.379 0.379 0.000
Br2 0.621 0.621 0.000
```

Computed properties:
Magnetization ... 0.00 μB per atom
Space-group type ... I4/mmm
Density ... 5.7 Mg/m³
Uncorrected energy ... -18.5 eV for the cell shown
Uncorrected formation energy ... -0.227 eV per atom

The following is a DFT calculation (GGA-PBE) of NiW2Br8 after structural relaxation.

Structure (CIF):
```
data_NiW2Br8
_cell_length_a 7.773
_cell_length_b 7.773
_cell_length_c 6.587
_cell_angle_alpha 97.20
_cell_angle_beta 97.20
_cell_angle_gamma 97.26
_space_group_name_H-M_alt 'P 1'
_space_group_IT_number 1
loop_
_space_group_symop_operation_xyz
'x,y,z'
loop_
_atom_site_label
_atom_site_fract_x
_atom_site_fract_y
_atom_site_fract_z
Ni1 0.000 0.000 0.000
W1 0.097 0.097 0.658
W2 0.903 0.903 0.342
Br1 0.106 0.710 0.219
Br2 0.166 0.166 0.292
Br3 0.290 0.894 0.781
Br4 0.345 0.345 0.748
Br5 0.655 0.655 0.252
Br6 0.710 0.106 0.219
Br7 0.834 0.834 0.708
Br8 0.894 0.290 0.781
```

Computed properties:
Magnetization ... 0.02 μB per atom
Space-group type ... C2/m
Density ... 4.6 Mg/m³
Uncorrected energy ... -47.3 eV for the cell shown
Uncorrected formation energy ... -0.201 eV per atom

The following is a DFT calculation (GGA-PBE) of ZrNb after structural relaxation.

Structure (CIF):
```
data_ZrNb
_cell_length_a 2.977
_cell_length_b 2.977
_cell_length_c 4.860
_cell_angle_alpha 90.00
_cell_angle_beta 90.00
_cell_angle_gamma 109.85
_space_group_name_H-M_alt 'P 1'
_space_group_IT_number 1
loop_
_space_group_symop_operation_xyz
'x,y,z'
loop_
_atom_site_label
_atom_site_fract_x
_atom_site_fract_y
_atom_site_fract_z
Zr1 0.000 0.000 0.000
Nb1 0.500 0.500 0.500
```

Computed properties:
Magnetization ... 0.00 μB per atom
Space-group type ... Cmmm
Density ... 7.5 Mg/m³
Uncorrected energy ... -18.4 eV for the cell shown
Energy of formation ... 0.10 eV/atom

The following is a DFT calculation (GGA-PBE) of NdDy2Be after structural relaxation.

Structure (CIF):
```
data_NdDy2Be
_cell_length_a 11.629
_cell_length_b 11.629
_cell_length_c 11.629
_cell_angle_alpha 17.21
_cell_angle_beta 17.21
_cell_angle_gamma 17.21
_space_group_name_H-M_alt 'P 1'
_space_group_IT_number 1
loop_
_space_group_symop_operation_xyz
'x,y,z'
loop_
_atom_site_label
_atom_site_fract_x
_atom_site_fract_y
_atom_site_fract_z
Nd1 0.000 0.000 0.000
Dy1 0.417 0.417 0.417
Dy2 0.583 0.583 0.583
Be1 0.500 0.500 0.500
```

Computed properties:
Magnetization ... 0.00 μB per atom
Space-group type ... R-3m
Density ... 6.6 Mg/m³
Uncorrected energy ... -14.9 eV for the cell shown
Energy of formation ... 0.71 eV/atom

- Which formula does entry 7 have?
  Mn2AgP